Na2CuAsCO7: optimized geometry, PBEsol.

Cell lengths 5.2240, 6.5622, 9.0625 Å; angles 90.00, 91.52, 90.00 degrees
Each line ends with the local moment (μB).
Atoms (fractional coordinates):
Na (0.2354, 0.5058, 0.7679)  0.00
Na (0.2354, 0.9942, 0.7679)  0.00
Na (0.7646, 0.4942, 0.2321)  0.00
Na (0.7646, 0.0058, 0.2321)  0.00
Cu (0.7872, 0.2500, 0.6525)  0.80
Cu (0.2128, 0.7500, 0.3475)  0.80
As (0.7072, 0.7500, 0.5732)  0.01
As (0.2928, 0.2500, 0.4268)  0.01
C (0.7229, 0.2500, 0.9226)  -0.01
C (0.2771, 0.7500, 0.0774)  -0.01
O (0.3093, 0.7500, 0.9408)  0.10
O (0.9475, 0.2500, 0.8641)  0.21
O (0.5335, 0.2500, 0.8258)  0.20
O (0.7981, 0.9527, 0.6817)  0.12
O (0.7981, 0.5473, 0.6817)  0.12
O (0.1565, 0.2500, 0.5953)  0.08
O (0.3774, 0.7500, 0.5480)  0.09
O (0.6226, 0.2500, 0.4520)  0.09
O (0.8435, 0.7500, 0.4047)  0.08
O (0.2019, 0.4527, 0.3183)  0.12
O (0.2019, 0.0473, 0.3183)  0.12
O (0.4665, 0.7500, 0.1742)  0.20
O (0.0525, 0.7500, 0.1359)  0.21
O (0.6907, 0.2500, 0.0592)  0.10

Calculated values
**Energy**: -6.19 eV/atom

CuAs2CSe: optimized geometry, PBEsol.

Cell lengths 4.2360, 4.2360, 4.3689 Å; angles 90.00, 90.00, 90.00 degrees
Atoms (fractional coordinates):
C (0.0000, 0.0000, 0.0000)
As (0.0000, 0.5000, 0.0000)
As (0.5000, 0.0000, 0.0000)
Cu (0.5000, 0.5000, 0.5000)
Se (0.0000, 0.0000, 0.5000)

Calculated values
**Energy**: -4.46 eV/atom

AsCF3: optimized geometry, PBEsol.

Cell lengths 4.1068, 4.1068, 4.1068 Å; angles 90.00, 90.00, 90.00 degrees
Each line ends with the local moment (μB).
Atoms (fractional coordinates):
As (0.5000, 0.5000, 0.5000)  0.01
C (0.0000, 0.0000, 0.0000)  0.96
F (0.0000, 0.5000, 0.5000)  0.03
F (0.5000, 0.0000, 0.5000)  0.03
F (0.5000, 0.5000, 0.0000)  0.03

Calculated values
**Energy**: -4.04 eV/atom

As3CF: optimized geometry, PBEsol.

Cell lengths 4.2943, 4.2943, 4.2943 Å; angles 90.00, 90.00, 90.00 degrees
Atoms (fractional coordinates):
As (0.0000, 0.5000, 0.0000)
As (0.0000, 0.0000, 0.5000)
As (0.5000, 0.0000, 0.0000)
C (0.0000, 0.0000, 0.0000)
F (0.5000, 0.5000, 0.5000)

Calculated values
**Energy**: -4.56 eV/atom

As2CF: optimized geometry, PBEsol.

Cell lengths 5.5353, 5.7209, 5.5353 Å; angles 61.07, 90.00, 118.93 degrees
Atoms (fractional coordinates):
As (0.5702, 0.7500, 0.3750)
As (0.1798, 0.7500, 0.8750)
As (0.8750, 0.2500, 0.5702)
As (0.3750, 0.2500, 0.1798)
C (0.2500, 0.5000, 0.2500)
C (0.5000, 0.0000, 0.5000)
F (0.7500, 0.5000, 0.7500)
F (0.0000, 0.0000, 0.0000)

Calculated values
**Energy**: -5.09 eV/atom

TaAsCF2: optimized geometry, PBEsol.

Cell lengths 3.7308, 3.7308, 5.2277 Å; angles 90.00, 90.00, 90.00 degrees
Each line ends with the local moment (μB).
Atoms (fractional coordinates):
As (0.0000, 0.0000, 0.0000)  -0.01
F (0.0000, 0.5000, 0.0000)  0.04
F (0.5000, 0.0000, 0.0000)  0.04
C (0.0000, 0.0000, 0.5000)  -0.09
Ta (0.5000, 0.5000, 0.5000)  1.30

Calculated values
**Energy**: -5.71 eV/atom

MnFeAs2C: optimized geometry, PBEsol.

Cell lengths 3.6123, 4.3274, 4.3274 Å; angles 90.00, 90.00, 90.00 degrees
Each line ends with the local moment (μB).
Atoms (fractional coordinates):
C (0.0000, 0.0000, 0.0000)  -0.10
As (0.0000, 0.0000, 0.5000)  -0.04
As (0.0000, 0.5000, 0.0000)  -0.04
Mn (0.5000, 0.0000, 0.0000)  1.89
Fe (0.5000, 0.5000, 0.5000)  2.65

Calculated values
**Formation energy from the elements**: 832.8 meV/atom

GaAs2C: optimized geometry, PBEsol.

Cell lengths 4.3833, 4.3833, 4.3833 Å; angles 60.00, 60.00, 60.00 degrees
Atoms (fractional coordinates):
As (0.2500, 0.2500, 0.2500)
As (0.7500, 0.7500, 0.7500)
C (0.0000, 0.0000, 0.0000)
Ga (0.5000, 0.5000, 0.5000)

Calculated values
**Formation energy from the elements**: 1365.6 meV/atom

GaAs2RuC: optimized geometry, PBEsol.

Cell lengths 3.8647, 4.4892, 4.4892 Å; angles 90.00, 90.00, 90.00 degrees
Atoms (fractional coordinates):
Ru (0.5000, 0.0000, 0.0000)
As (0.0000, 0.0000, 0.5000)
As (0.0000, 0.5000, 0.0000)
C (0.0000, 0.0000, 0.0000)
Ga (0.5000, 0.5000, 0.5000)

Calculated values
**Formation energy from the elements**: 834.6 meV/atom

GaAsCSe2: optimized geometry, PBEsol.

Cell lengths 4.2498, 4.4677, 4.4677 Å; angles 90.00, 90.00, 90.00 degrees
Atoms (fractional coordinates):
C (0.0000, 0.0000, 0.0000)
As (0.5000, 0.0000, 0.0000)
Ga (0.5000, 0.5000, 0.5000)
Se (0.0000, 0.0000, 0.5000)
Se (0.0000, 0.5000, 0.0000)

Calculated values
**Energy**: -4.26 eV/atom

GeAs2CSe: optimized geometry, PBEsol.

Cell lengths 4.8288, 4.8576, 4.8576 Å; angles 90.00, 90.00, 90.00 degrees
Each line ends with the local moment (μB).
Atoms (fractional coordinates):
C (0.5000, 0.5000, 0.5000)  0.65
As (0.0000, 0.0000, 0.5000)  -0.11
As (0.0000, 0.5000, 0.0000)  -0.11
Ge (0.0000, 0.0000, 0.0000)  0.01
Se (0.5000, 0.0000, 0.0000)  0.00

Calculated values
**Energy**: -3.68 eV/atom

InSi2AsH24C8: optimized geometry, PBEsol.

Cell lengths 9.3478, 9.7621, 9.8539 Å; angles 77.98, 81.34, 64.36 degrees
Atoms (fractional coordinates):
In (0.5404, 0.6537, 0.5750)
In (0.4596, 0.3463, 0.4250)
Si (0.6856, 0.6269, 0.1572)
Si (0.2408, 0.8161, 0.2514)
Si (0.7592, 0.1839, 0.7486)
Si (0.3144, 0.3731, 0.8428)
As (0.5173, 0.3828, 0.6728)
As (0.4827, 0.6172, 0.3272)
H (0.8615, 0.5559, 0.4934)
H (0.8586, 0.8997, 0.8130)
H (0.3261, 0.9537, 0.5808)
H (0.2826, 0.3345, 0.1009)
H (0.8327, 0.5563, 0.6768)
H (0.3434, 0.0086, 0.1227)
H (0.1646, 0.2092, 0.8992)
H (0.7027, 0.9727, 0.6978)
H (0.7174, 0.6655, 0.8991)
H (0.6260, 0.1405, 0.2455)
H (0.1414, 0.1003, 0.1870)
H (0.7843, 0.7620, 0.2835)
H (0.8354, 0.7908, 0.1008)
H (0.2157, 0.2380, 0.7165)
H (0.3621, 0.1033, 0.8311)
H (0.6739, 0.0463, 0.4192)
H (0.1671, 0.6569, 0.8339)
H (0.7921, 0.7331, 0.5593)
H (0.8243, 0.3344, 0.8859)
H (0.4183, 0.4219, 0.0399)
H (0.1673, 0.4437, 0.3232)
H (0.0791, 0.7058, 0.4236)
H (0.0314, 0.0937, 0.6343)
H (0.0670, 0.8679, 0.0637)
H (0.9686, 0.9063, 0.3657)
H (0.6379, 0.8967, 0.1689)
H (0.7657, 0.1701, 0.3286)
H (0.2707, 0.7757, 0.0031)
H (0.1129, 0.8451, 0.4909)
H (0.6566, 0.9914, 0.8773)
H (0.8329, 0.3431, 0.1661)
H (0.5191, 0.7793, 0.9569)
H (0.8996, 0.4068, 0.2919)
H (0.9209, 0.2942, 0.5764)
H (0.3740, 0.8595, 0.7545)
H (0.1757, 0.6656, 0.1141)
H (0.1385, 0.4441, 0.5066)
H (0.4809, 0.2207, 0.0431)
H (0.2343, 0.8299, 0.6714)
H (0.1004, 0.5932, 0.7081)
H (0.8871, 0.1549, 0.5091)
H (0.0375, 0.5616, 0.8874)
H (0.9330, 0.1321, 0.9363)
H (0.2973, 0.0273, 0.3022)
H (0.5817, 0.5781, 0.9601)
H (0.2079, 0.2669, 0.4407)
H (0.7293, 0.2243, 0.9969)
H (0.9625, 0.4384, 0.1126)
C (0.7856, 0.6206, 0.5756)
C (0.2580, 0.0051, 0.2122)
C (0.0865, 0.8181, 0.3969)
C (0.8155, 0.2228, 0.9070)
C (0.6550, 0.1532, 0.3452)
C (0.3450, 0.8468, 0.6548)
C (0.1390, 0.5642, 0.8148)
C (0.7420, 0.9949, 0.7878)
C (0.2594, 0.2163, 0.8202)
C (0.3807, 0.3346, 0.0228)
C (0.7406, 0.7837, 0.1798)
C (0.8610, 0.4358, 0.1852)
C (0.6193, 0.6654, 0.9772)
C (0.1845, 0.7772, 0.0930)
C (0.9135, 0.1819, 0.6031)
C (0.2144, 0.3794, 0.4244)

Calculated values
**Energy**: -5.04 eV/atom